Entry from Alexandria via LeMat-Bulk: CdNiF3 after structural relaxation (PBE with a Hubbard U).

abc: 4.3811 4.3811 4.3811
angles: 90.00 90.00 90.00
Last column: nearest neighbours and their distance in Å.
Atoms (fractional coordinates):
Cd: 0.0000 0.0000 0.0000  6 F 2.19
Ni: 0.5000 0.5000 0.5000  12 F 3.10
F: 0.0000 0.0000 0.5000  2 Cd 2.19
F: 0.0000 0.5000 0.0000  2 Cd 2.19
F: 0.5000 0.0000 0.0000  2 Cd 2.19

Properties
The relative energy among the computed polymorphs comes out at 732 meV/atom. Its density of states at the Fermi level is 2.29 states/eV/atom. For the total energy, the calculation gives -2.8089 eV/atom.